Entry 1:
{"formula": "SbTe2MoAu", "functional": "SCAN", "state": "single point on PBEsol structure", "e_tot_ev_per_atom": -42.4818, "sg": "No. 123", "lattice_angstrom": [[-2.030, 0.416, -4.700], [-4.418, -1.965, 1.734], [-1.684, 4.801, 1.152]], "species": ["Sb", "Mo", "Te", "Te", "Au"], "fractional_positions": [[0.000, 0.000, 0.500], [0.000, 0.000, 0.000], [0.000, 0.500, 0.000], [0.500, 0.000, 0.000], [0.500, 0.500, 0.500]]}



Entry 2:
{"formula": "ScMo2Au", "functional": "SCAN", "state": "single point on PBEsol structure", "ef_ev_per_atom": 0.178, "sg": "No. 47", "lattice_angstrom": [[2.723, 0.000, 0.000], [0.000, 4.604, 0.000], [0.000, 0.000, 5.399]], "species": ["Au", "Mo", "Mo", "Sc"], "fractional_positions": [[0.500, 0.500, 0.500], [0.000, 0.000, 0.767], [0.000, 0.000, 0.233], [0.500, 0.500, 0.000]]}



Entry 3:
{"formula": "ScMo2Au", "functional": "SCAN", "state": "single point on PBEsol structure", "ef_ev_per_atom": 0.086, "sg": "No. 160", "lattice_angstrom": [[3.074, 0.000, 0.000], [1.537, 2.662, 0.000], [1.537, 0.887, 8.529]], "species": ["Au", "Mo", "Mo", "Sc"], "fractional_positions": [[0.748, 0.748, 0.756], [0.993, 0.993, 0.021], [0.257, 0.257, 0.230], [0.502, 0.502, 0.494]]}



Entry 4:
{"formula": "MoAuSe4", "functional": "SCAN", "state": "single point on PBEsol structure", "e_tot_ev_per_atom": -29.6691, "sg": "No. 216", "lattice_angstrom": [[-4.280, 3.041, 1.658], [-2.221, -0.849, 4.966], [0.660, 3.740, 3.987]], "species": ["Au", "Mo", "Se", "Se", "Se", "Se"], "fractional_positions": [[0.750, 0.750, 0.750], [0.000, 0.000, 0.000], [0.375, 0.375, 0.375], [0.375, 0.375, 0.874], [0.874, 0.375, 0.375], [0.375, 0.874, 0.375]]}



Entry 5:
{"formula": "MoAuSe", "functional": "SCAN", "state": "single point on PBEsol structure", "e_tot_ev_per_atom": -41.0095, "sg": "No. 42", "lattice_angstrom": [[2.834, 0.007, 0.000], [-0.960, 2.667, 0.000], [-0.937, -1.337, 7.103]], "species": ["Au", "Mo", "Se"], "fractional_positions": [[0.984, 0.984, 0.968], [0.325, 0.325, 0.650], [0.691, 0.691, 0.383]]}



Entry 6:
{"formula": "Mo2AuSe", "functional": "SCAN", "state": "single point on PBEsol structure", "e_tot_ev_per_atom": -39.5248, "sg": "No. 123", "lattice_angstrom": [[-2.776, -0.963, -0.767], [1.214, -1.823, -2.103], [0.455, -4.907, 4.516]], "species": ["Au", "Mo", "Mo", "Se"], "fractional_positions": [[0.500, 0.500, 0.500], [0.000, 0.000, 0.774], [0.000, 0.000, 0.226], [0.500, 0.500, 0.000]]}